Arrangement A

{
  "formula": "SrCaDy",
  "functional": "PBE",
  "state": "optimized geometry",
  "crystal_system": "trigonal",
  "lattice_angstrom": [[-2.889, 1.552, -1.989], [-0.641, -3.025, 2.269], [-1.872, 5.872, 7.300]],
  "species": ["Sr", "Ca", "Dy"],
  "fractional_positions": [[0.000, 0.000, 0.009], [0.333, 0.667, 0.651], [0.667, 0.333, 0.341]]
}

---

Arrangement B

{
  "formula": "SrCaDy",
  "functional": "PBE",
  "state": "optimized geometry",
  "crystal_system": "trigonal",
  "lattice_angstrom": [[-2.959, -4.662, 1.919], [1.119, -5.290, -2.222], [5.767, -4.695, 6.391]],
  "species": ["Ca", "Ca", "Sr", "Sr", "Dy", "Dy"],
  "fractional_positions": [[0.560, 0.560, 0.319], [0.440, 0.440, 0.681], [0.286, 0.286, 0.141], [0.714, 0.714, 0.859], [0.851, 0.851, 0.447], [0.149, 0.149, 0.553]]
}

---

It is arrangement B that is the least stable of them.

---

Arrangement A

{
  "formula": "CaTbDy2",
  "functional": "PBE",
  "state": "optimized geometry",
  "crystal_system": "trigonal",
  "lattice_angstrom": [[3.546, 0.000, 0.000], [1.773, 3.071, 0.000], [1.773, 1.024, 12.551]],
  "species": ["Ca", "Tb", "Dy", "Dy"],
  "fractional_positions": [[0.000, 0.000, 0.000], [0.500, 0.500, 0.500], [0.091, 0.091, 0.726], [0.909, 0.909, 0.274]]
}

---

Arrangement B

{
  "formula": "CaTbDy2",
  "functional": "PBE",
  "state": "optimized geometry",
  "crystal_system": "tetragonal",
  "lattice_angstrom": [[3.614, 0.000, 0.000], [0.000, 3.614, 0.000], [0.000, 0.000, 10.358]],
  "species": ["Ca", "Tb", "Dy", "Dy"],
  "fractional_positions": [[0.500, 0.500, 0.500], [0.500, 0.500, 0.000], [0.000, 0.000, 0.769], [0.000, 0.000, 0.231]]
}

---

It is arrangement A that is the least stable of them.

---

Arrangement A

{
  "formula": "CaTbDy2",
  "functional": "PBE",
  "state": "optimized geometry",
  "crystal_system": "cubic",
  "lattice_angstrom": [[-5.027, -2.688, -0.683], [-0.166, -5.727, -0.362], [-2.214, -3.086, 4.306]],
  "species": ["Ca", "Tb", "Dy", "Dy"],
  "fractional_positions": [[0.500, 0.500, 0.500], [0.000, 0.000, 0.000], [0.250, 0.250, 0.250], [0.750, 0.750, 0.750]]
}

---

Arrangement B

{
  "formula": "CaTbDy2",
  "functional": "PBE",
  "state": "optimized geometry",
  "crystal_system": "tetragonal",
  "lattice_angstrom": [[5.114, 0.000, 0.000], [0.000, 5.093, 0.000], [0.000, 0.000, 5.093]],
  "species": ["Ca", "Tb", "Dy", "Dy"],
  "fractional_positions": [[0.500, 0.000, 0.000], [0.500, 0.500, 0.500], [0.000, 0.000, 0.500], [0.000, 0.500, 0.000]]
}

---

Arrangement C

{
  "formula": "CaTbDy2",
  "functional": "PBE",
  "state": "optimized geometry",
  "crystal_system": "monoclinic",
  "lattice_angstrom": [[-2.817, 1.803, 0.990], [1.225, -1.459, 6.147], [8.251, 8.783, 1.337]],
  "species": ["Ca", "Ca", "Tb", "Tb", "Dy", "Dy", "Dy", "Dy"],
  "fractional_positions": [[0.499, 0.249, 0.997], [0.501, 0.751, 0.003], [0.252, 0.249, 0.503], [0.748, 0.751, 0.497], [0.127, 0.963, 0.255], [0.365, 0.546, 0.729], [0.635, 0.454, 0.271], [0.873, 0.037, 0.745]]
}

---

Arrangement D

{
  "formula": "CaTbDy2",
  "functional": "PBE",
  "state": "optimized geometry",
  "crystal_system": "trigonal",
  "lattice_angstrom": [[-3.478, 0.467, 0.768], [-2.511, -0.965, -2.382], [-2.395, -11.139, 4.326]],
  "species": ["Ca", "Tb", "Dy", "Dy"],
  "fractional_positions": [[0.501, 0.501, 0.498], [0.666, 0.666, 0.001], [0.078, 0.078, 0.765], [0.255, 0.255, 0.236]]
}

---

It is arrangement A that is the least stable of them.

---

Arrangement A

{
  "formula": "CaTb2Dy",
  "functional": "PBE",
  "state": "optimized geometry",
  "crystal_system": "trigonal",
  "lattice_angstrom": [[-3.252, 0.905, -1.244], [-0.573, 0.217, -3.545], [-4.428, -11.233, -1.798]],
  "species": ["Ca", "Tb", "Tb", "Dy"],
  "fractional_positions": [[0.500, 0.500, 0.499], [0.078, 0.078, 0.765], [0.255, 0.255, 0.235], [0.666, 0.666, 0.001]]
}

---

Arrangement B

{
  "formula": "CaTb2Dy",
  "functional": "PBE",
  "state": "optimized geometry",
  "crystal_system": "tetragonal",
  "lattice_angstrom": [[-2.018, -2.999, -0.069], [2.978, -2.013, 0.389], [-1.036, 0.460, 10.311]],
  "species": ["Ca", "Tb", "Tb", "Dy"],
  "fractional_positions": [[0.500, 0.500, 0.500], [0.000, 0.000, 0.769], [0.000, 0.000, 0.231], [0.500, 0.500, 0.000]]
}

---

It is arrangement B that is the least stable of them.

---

Arrangement A

{
  "formula": "CaTb2Dy",
  "functional": "PBE",
  "state": "optimized geometry",
  "crystal_system": "monoclinic",
  "lattice_angstrom": [[3.446, 0.000, -0.564], [-0.001, 6.448, -0.005], [0.211, 0.875, 12.104]],
  "species": ["Ca", "Ca", "Tb", "Tb", "Tb", "Tb", "Dy", "Dy"],
  "fractional_positions": [[0.499, 0.249, 0.997], [0.501, 0.751, 0.003], [0.128, 0.965, 0.255], [0.364, 0.545, 0.728], [0.636, 0.455, 0.272], [0.872, 0.035, 0.745], [0.252, 0.248, 0.503], [0.748, 0.752, 0.497]]
}

---

Arrangement B

{
  "formula": "CaTb2Dy",
  "functional": "PBE",
  "state": "optimized geometry",
  "crystal_system": "cubic",
  "lattice_angstrom": [[5.749, 0.000, 0.000], [2.875, 4.979, 0.000], [2.875, 1.660, 4.694]],
  "species": ["Ca", "Tb", "Tb", "Dy"],
  "fractional_positions": [[0.500, 0.500, 0.500], [0.250, 0.250, 0.250], [0.750, 0.750, 0.750], [0.000, 0.000, 0.000]]
}

---

Arrangement C

{
  "formula": "CaTb2Dy",
  "functional": "PBE",
  "state": "optimized geometry",
  "crystal_system": "trigonal",
  "lattice_angstrom": [[3.548, 0.000, 0.000], [1.774, 3.073, 0.000], [1.774, 1.024, 12.586]],
  "species": ["Ca", "Tb", "Tb", "Dy"],
  "fractional_positions": [[0.000, 0.000, 0.000], [0.091, 0.091, 0.726], [0.909, 0.909, 0.274], [0.500, 0.500, 0.500]]
}

---

It is arrangement B that is the least stable of them.

---

Arrangement A

{
  "formula": "CaDy2Tc",
  "functional": "PBE",
  "state": "optimized geometry",
  "crystal_system": "tetragonal",
  "lattice_angstrom": [[-2.081, 1.772, 2.190], [0.094, -2.678, 2.256], [7.409, 3.681, 4.061]],
  "species": ["Ca", "Tc", "Dy", "Dy"],
  "fractional_positions": [[0.500, 0.500, 0.500], [0.500, 0.500, 0.000], [0.000, 0.000, 0.825], [0.000, 0.000, 0.175]]
}

---

Arrangement B

{
  "formula": "CaDy2Tc",
  "functional": "PBE",
  "state": "optimized geometry",
  "crystal_system": "trigonal",
  "lattice_angstrom": [[3.551, 0.000, 0.000], [1.775, 3.075, 0.000], [1.775, 1.025, 10.826]],
  "species": ["Ca", "Tc", "Dy", "Dy"],
  "fractional_positions": [[0.000, 0.000, 0.000], [0.500, 0.500, 0.500], [0.107, 0.107, 0.679], [0.893, 0.893, 0.321]]
}

---

It is arrangement B that is the least stable of them.

---

Arrangement A

{
  "formula": "CaDyTe2",
  "functional": "PBE",
  "state": "optimized geometry",
  "crystal_system": "trigonal",
  "lattice_angstrom": [[-3.212, 2.132, 2.096], [-4.194, -0.842, -0.978], [-2.609, -4.817, 5.496]],
  "species": ["Ca", "Dy", "Te", "Te"],
  "fractional_positions": [[0.500, 0.500, 0.500], [0.000, 0.000, 0.000], [0.252, 0.252, 0.245], [0.748, 0.748, 0.755]]
}

---

Arrangement B

{
  "formula": "CaDyTe2",
  "functional": "PBE",
  "state": "optimized geometry",
  "crystal_system": "trigonal",
  "lattice_angstrom": [[-4.005, -1.551, -0.343], [-1.613, -0.961, -3.877], [0.863, -8.041, -0.760]],
  "species": ["Ca", "Dy", "Te", "Te"],
  "fractional_positions": [[0.497, 0.497, 0.510], [0.669, 0.669, 0.993], [0.080, 0.080, 0.759], [0.254, 0.254, 0.238]]
}

---

It is arrangement B that is the least stable of them.

---

Arrangement A

{
  "formula": "CaDy4Y",
  "functional": "PBE",
  "state": "optimized geometry",
  "crystal_system": "cubic",
  "lattice_angstrom": [[6.639, 0.000, 0.000], [3.320, 5.750, 0.000], [3.320, 1.917, 5.421]],
  "species": ["Y", "Ca", "Dy", "Dy", "Dy", "Dy"],
  "fractional_positions": [[0.000, 0.000, 0.000], [0.250, 0.250, 0.250], [0.627, 0.627, 0.120], [0.627, 0.120, 0.627], [0.627, 0.627, 0.627], [0.120, 0.627, 0.627]]
}

---

Arrangement B

{
  "formula": "CaDy4Y",
  "functional": "PBE",
  "state": "optimized geometry",
  "crystal_system": "monoclinic",
  "lattice_angstrom": [[-1.176, -0.196, 3.417], [5.811, -1.525, 1.912], [1.747, 17.275, 1.592]],
  "species": ["Ca", "Ca", "Dy", "Dy", "Dy", "Dy", "Dy", "Dy", "Dy", "Dy", "Y", "Y"],
  "fractional_positions": [[0.500, 0.000, 0.500], [0.000, 0.000, 0.000], [0.500, 0.607, 0.331], [0.000, 0.393, 0.169], [0.500, 0.393, 0.669], [0.000, 0.607, 0.831], [0.000, 0.113, 0.328], [0.500, 0.887, 0.172], [0.000, 0.887, 0.672], [0.500, 0.113, 0.828], [0.000, 0.500, 0.500], [0.500, 0.500, 0.000]]
}

---

It is arrangement A that is the least stable of them.